An optimized crystal structure of SrCd3Pt2, computed with GGA-PBE.

Output
The value obtained for the energy is -38.401 eV/cell. As for the formation enthalpy at 0 K: -10.345 kcal/mol of atoms. Its size of the total moment is 0.0 μB per formula unit. For the density of states at the Fermi level, the calculation gives 4.06 states/eV per cell.

a b c (Å): 8.6908 8.6908 9.2517
angles (deg): 122.06 122.06 28.23
Fractional coordinates of all 12 atoms:
Sr  0.1367  0.1367  0.1363
Sr  0.8633  0.8633  0.8637
Cd  0.0001  0.0001  0.3447
Cd  0.9999  0.9999  0.6553
Cd  0.3315  0.3315  0.1336
Cd  0.3308  0.3308  0.5305
Cd  0.6692  0.6692  0.4695
Cd  0.6685  0.6685  0.8664
Pt  0.1836  0.1836  0.6826
Pt  0.5001  0.5001  0.1431
Pt  0.4999  0.4999  0.8569
Pt  0.8164  0.8164  0.3174